Record 1
Density functional theory data (PBE) for a geometry-optimized CaNiC3 structure.

Output
energy relative to the lowest polymorph listed for this composition = 0.0 meV/atom
DOS(E_F) = 0.73 states/eV per cell
ΔE_f = 1.646 eV/atom

Cell: 3.882 3.882 3.882 Å, 90.00 90.00 90.00°
Space group Pm-3m (No. 221)
Symmetry-distinct sites (fractional):
Ca: 0.000 0.000 0.000 [1 per cell]
Ni: 0.500 0.500 0.500 [1 per cell]
C: 0.000 0.500 0.500 [3 per cell]

---

Record 2
Density functional theory data (PBE) for a geometry-optimized CaNi4C structure.

Output
DOS(E_F) = 6.60 states/eV per cell
ΔE_f = 0.135 eV/atom

Cell: 6.941 3.273 6.538 Å, 90.00 90.00 90.00°
Space group Pmma (No. 51)
Symmetry-distinct sites (fractional):
Ca: 0.250 0.000 0.086 [2 per cell]
Ni: 0.000 0.000 0.500 [2 per cell]
Ni: 0.077 0.500 0.766 [4 per cell]
Ni: 0.250 0.500 0.446 [2 per cell]
C: 0.250 0.000 0.659 [2 per cell]

---

Record 3
Density functional theory data (PBE) for a geometry-optimized Ca2Ni4C structure.

Output
DOS(E_F) = 11.31 states/eV per cell
ΔE_f = 0.000 eV/atom

Cell: 3.865 3.865 15.339 Å, 90.00 90.00 90.00°
Space group I4/mmm (No. 139)
Symmetry-distinct sites (fractional):
Ca: 0.000 0.000 0.164 [4 per cell]
Ni: 0.000 0.000 0.381 [4 per cell]
Ni: 0.000 0.500 0.000 [4 per cell]
C: 0.000 0.000 0.500 [2 per cell]